Entry 1:
First-principles (PBE-GGA) data for crystalline ThGa3 at its relaxed geometry, as listed in Alexandria.

Computed properties:
Formation energy, eV per formula unit: -2.04
SG: R-3m (166)

abc: 8.0076 8.0076 8.0076
angles: 47.26 47.26 47.26
Fractional coordinates of all 12 atoms:
1 Th 0.0000 0.0000 0.0000
2 Th 0.2151 0.2151 0.2151
3 Th 0.7849 0.7849 0.7849
4 Ga 0.0000 0.5000 0.5000
5 Ga 0.2772 0.6967 0.6967
6 Ga 0.3033 0.3033 0.7228
7 Ga 0.3033 0.7228 0.3033
8 Ga 0.5000 0.0000 0.5000
9 Ga 0.5000 0.5000 0.0000
10 Ga 0.6967 0.2772 0.6967
11 Ga 0.6967 0.6967 0.2772
12 Ga 0.7228 0.3033 0.3033

Entry 2:
First-principles (PBE-GGA) data for crystalline Zr3TiI at its relaxed geometry, as listed in Alexandria.

Computed properties:
Relative energy among the computed polymorphs, kJ/mol of formula units: 0
SG: Pm-3m (221)

abc: 5.0749 5.0749 5.0749
angles: 90.00 90.00 90.00
Fractional coordinates of all 5 atoms:
1 Zr 0.0000 0.0000 0.5000
2 Zr 0.0000 0.5000 0.0000
3 Zr 0.5000 0.0000 0.0000
4 Ti 0.0000 0.0000 0.0000
5 I 0.5000 0.5000 0.5000

Entry 3:
First-principles (PBE-GGA) data for crystalline CsZn2Pb at its relaxed geometry, as listed in Alexandria.

Computed properties:
Formation energy, eV per formula unit: 0.51
SG: I4_1/amd (141)

abc: 10.3687 10.3687 10.3687
angles: 147.21 147.21 47.06
Fractional coordinates of all 8 atoms:
1 Cs 0.3750 0.6250 0.7500
2 Cs 0.6250 0.3750 0.2500
3 Zn 0.0000 0.0000 0.0000
4 Zn 0.0000 0.0000 0.5000
5 Zn 0.0000 0.5000 0.0000
6 Zn 0.5000 0.0000 0.5000
7 Pb 0.1250 0.8750 0.2500
8 Pb 0.8750 0.1250 0.7500

| no. | total DFT energy (no corrections) (eV for the cell shown) |
| --- | --- |
| 1 | -55.62 |
| 2 | -31.10 |
| 3 | -13.19 |